InNiSe2N, relaxed, DFT GGA-PBEsol; theoretical density = 5.196 g/cm³; formation energy (no corrections) = 6.63 eV per formula unit; raw total energy = -18.74 eV per cell; space group = No. 123; spin magnetization = 3.7 Bohr magnetons per cell; DOS at the Fermi energy = 1.3972 states/eV per atom
1.0
4.012 0.000 0.000
0.000 5.245 0.000
0.000 0.000 5.245
In Se N Ni
1 2 1 1
direct
0.000 0.000 0.000
0.000 0.500 0.000
0.000 0.000 0.500
0.500 0.000 0.000
0.500 0.500 0.500